Record 1
Entry from OQMD: crystalline CsAgTe2PdS at its relaxed geometry (PBE).

abc: 8.339 8.339 10.934
angles: 90.00 90.00 151.41
Fractional coordinates of all 12 atoms:
Te 0.391 0.609 0.520
Ag 0.462 0.538 0.750
Te 0.609 0.391 0.480
S 0.051 0.949 0.750
S 0.949 0.051 0.250
Ag 0.538 0.462 0.250
Cs 0.251 0.749 0.250
Te 0.391 0.609 0.980
Pd 0.000 0.000 0.500
Pd 0.000 0.000 0.000
Te 0.609 0.391 0.020
Cs 0.749 0.251 0.750

Output
**Space group**: Cmcm
**Calculated total energy**: -3.496 eV/atom

---

Record 2
Entry from OQMD: crystalline CsAgTePdS2 at its relaxed geometry (PBE).

abc: 8.689 8.689 10.831
angles: 90.00 90.00 155.35
Fractional coordinates of all 12 atoms:
S 0.092 0.908 0.028
Te 0.568 0.432 0.750
Pd 0.500 0.500 0.500
Cs 0.738 0.262 0.250
Ag 0.940 0.060 0.750
S 0.908 0.092 0.972
S 0.092 0.908 0.472
S 0.908 0.092 0.528
Pd 0.500 0.500 0.000
Cs 0.262 0.738 0.750
Te 0.432 0.568 0.250
Ag 0.060 0.940 0.250

Output
**Space group**: Cmcm
**Calculated total energy**: -3.684 eV/atom